1.
Below is a relaxed structure of Ho2AgRh, with properties calculated at the PBE level.

- DOS at the Fermi energy: 2.5 states/eV/cell
- SG: No. 160
- Electronic total energy: -21.30 eV for the cell shown
- DFT formation energy: -485 meV/atom

Cell: 4.017 4.017 7.475 Å, 74.41 74.41 60.00°
Atoms (fractional coordinates):
Ho (0.263, 0.263, 0.210)
Ho (0.070, 0.070, 0.791)
Rh (0.665, 0.665, 0.005)
Ag (0.502, 0.502, 0.494)



2.
Below is a relaxed structure of CaTi4S8, with properties calculated at the PBE level.

- DOS at the Fermi energy: 6.1 states/eV/cell
- ΔE_f (raw): -1.42 eV per atom
- SG: No. 166
- Electronic total energy: -85.08 eV for the cell shown

Cell: 7.133 7.133 7.133 Å, 61.06 61.06 61.06°
Atoms (fractional coordinates):
S (0.738, 0.273, 0.738)
S (0.262, 0.262, 0.727)
S (0.727, 0.262, 0.262)
S (0.257, 0.257, 0.257)
S (0.262, 0.727, 0.262)
S (0.743, 0.743, 0.743)
S (0.738, 0.738, 0.273)
S (0.273, 0.738, 0.738)
Ti (0.500, 0.000, 0.500)
Ti (0.500, 0.500, 0.000)
Ti (0.000, 0.500, 0.500)
Ti (0.500, 0.500, 0.500)
Ca (0.000, 0.000, 0.000)



3.
Below is a relaxed structure of ReP, with properties calculated at the PBE level.

- DOS at the Fermi energy: 2.7 states/eV/cell
- SG: No. 176
- Electronic total energy: -108.04 eV for the cell shown
- DFT formation energy: -74 meV/atom

Cell: 8.998 8.998 3.087 Å, 90.00 90.00 120.00°
Atoms (fractional coordinates):
P (0.344, 0.292, 0.250)
P (0.292, 0.947, 0.750)
P (0.656, 0.708, 0.750)
P (0.947, 0.656, 0.250)
P (0.708, 0.053, 0.250)
P (0.053, 0.344, 0.750)
Re (0.361, 0.492, 0.750)
Re (0.639, 0.508, 0.250)
Re (0.492, 0.132, 0.250)
Re (0.868, 0.361, 0.250)
Re (0.508, 0.868, 0.750)
Re (0.132, 0.639, 0.750)



4.
Below is a relaxed structure of Ir6PtRh2, with properties calculated at the PBE level.

- DOS at the Fermi energy: 12.5 states/eV/cell
- SG: No. 44
- Electronic total energy: -71.46 eV for the cell shown
- DFT formation energy: 272 meV/atom

Cell: 2.700 7.794 7.794 Å, 59.54 80.08 80.08°
Atoms (fractional coordinates):
Ir (0.380, 0.354, 0.997)
Ir (0.731, 0.003, 0.646)
Ir (0.380, 0.997, 0.354)
Ir (0.555, 0.667, 0.333)
Ir (0.731, 0.646, 0.003)
Ir (0.555, 0.333, 0.667)
Rh (0.202, 0.353, 0.353)
Rh (0.908, 0.647, 0.647)
Pt (0.558, 0.000, 0.000)



5.
Below is a relaxed structure of Sr2SnO, with properties calculated at the PBE level.

- DOS at the Fermi energy: 1.1 states/eV/cell
- ΔE_f (raw): -1.43 eV per atom
- SG: No. 122
- Electronic total energy: -36.12 eV for the cell shown

Cell: 7.405 7.405 6.903 Å, 57.57 57.57 90.00°
Atoms (fractional coordinates):
O (0.500, 0.500, 0.000)
O (0.250, 0.750, 0.500)
Sr (0.240, 0.625, 0.250)
Sr (0.510, 0.125, 0.250)
Sr (0.375, 0.490, 0.750)
Sr (0.875, 0.760, 0.750)
Sn (0.000, 0.000, 0.000)
Sn (0.750, 0.250, 0.500)